This record from Alexandria via LeMat-Bulk describes crystalline RbLiBr2 at its relaxed geometry. The functional is PBE.

## Properties
Its crystal system is trigonal. The value obtained for the total energy is -3.075 eV/atom. The value obtained for the total magnetization is 0.00 μB/f.u. As for the uncorrected formation energy: -1.518 eV/atom.

extended XYZ file:
```
4
Lattice="2.5998 1.5010 8.2766 -2.5998 1.5010 8.2766 0.0000 -3.0020 8.2766" Properties=species:S:1:pos:R:3 pbc="T T T"
Rb 0.0000 0.0000 0.0000
Li 0.0000 0.0000 12.4149
Br 0.0000 0.0000 10.0794
Br 0.0000 0.0000 14.7503
```